[1]
Below is a relaxed Na2TlAs crystal, with properties calculated at the PBE level.

Values from the calculation:
Space group ... R3m
Calculated formation energy ... -0.78 eV per formula unit

abc: 5.0590 5.0590 5.9095
angles: 64.66 64.66 60.00
Sites, in units of the cell vectors:
Na  0.0396  0.0396  0.8811
Na  0.2827  0.2827  0.1520
Tl  0.4924  0.4924  0.5228
As  0.6853  0.6853  0.9441

***

[2]
Below is a relaxed CsRbHgBr4 crystal, with properties calculated at the PBE level.

Values from the calculation:
Formation energy from raw total energies ... -1241 meV per atom
Space group ... P2_1/m

abc: 8.0318 7.8889 10.0308
angles: 90.00 108.16 90.00
Sites, in units of the cell vectors:
Cs  0.7371  0.7500  0.9352
Cs  0.2629  0.2500  0.0648
Rb  0.7756  0.7500  0.4445
Rb  0.2244  0.2500  0.5555
Hg  0.2255  0.7500  0.3096
Hg  0.7745  0.2500  0.6904
Br  0.0038  0.5088  0.7476
Br  0.9962  0.0088  0.2524
Br  0.9962  0.4912  0.2524
Br  0.0038  0.9912  0.7476
Br  0.4157  0.7500  0.1339
Br  0.5843  0.2500  0.8661
Br  0.4174  0.7500  0.5778
Br  0.5826  0.2500  0.4222

***

[3]
Below is a relaxed MoS2 crystal, with properties calculated at the PBE level.

Values from the calculation:
Formation energy from raw total energies ... -230 meV per atom
Space group ... I-42d

abc: 6.4131 6.4131 6.4131
angles: 129.60 129.60 74.05
Sites, in units of the cell vectors:
Mo  0.7500  0.2500  0.5000
Mo  0.0000  0.0000  0.0000
S  0.8750  0.8899  0.5149
S  0.1101  0.6250  0.9851
S  0.3750  0.3601  0.4851
S  0.6399  0.1250  0.0149

***

Computed V (A^3/atom) in order:
28.5; 43.1; 25.5
Computed total magnetic moment (μB/f.u.) in order:
0.000; 0.000; 0.000